(1)
Density functional theory data (GGA-PBEsol) for TbAl2Ge2 after structural relaxation.

Properties
ΔE_f = -0.4489 eV per atom
density of states at the Fermi level = 1.585 states/eV/f.u.
theoretical density = 5.86 g/cm3
space-group type = P-3m1 (164)

a b c (Å): 4.230 4.230 6.555
angles (deg): 90.00 90.00 120.00
Element x y z (fractional)
Ge1 0.333 0.667 0.257
Ge2 0.667 0.333 0.743
Al1 0.667 0.333 0.354
Al2 0.333 0.667 0.646
Tb1 0.000 0.000 0.000

---

(2)
Density functional theory data (GGA-PBEsol) for CaMgPb2 after structural relaxation.

Properties
ΔE_f = -0.1828 eV per atom
density of states at the Fermi level = 1.527 states/eV/f.u.
theoretical density = 6.92 g/cm3
space-group type = F-43m (216)

a b c (Å): 5.456 5.456 5.456
angles (deg): 60.00 60.00 60.00
Element x y z (fractional)
Pb1 0.750 0.750 0.750
Pb2 0.000 0.000 0.000
Ca1 0.500 0.500 0.500
Mg1 0.250 0.250 0.250

---

(3)
Density functional theory data (GGA-PBEsol) for Tl2NiW after structural relaxation.

Properties
ΔE_f = 0.4829 eV per atom
density of states at the Fermi level = 2.518 states/eV/f.u.
ΔE to the lowest computed polymorph = 0 meV per atom
theoretical density = 14.49 g/cm3
space-group type = Amm2 (38)

a b c (Å): 2.962 2.974 8.599
angles (deg): 90.00 99.89 90.00
Element x y z (fractional)
Tl1 0.839 0.000 0.053
Tl2 0.669 0.500 0.713
W1 0.038 0.000 0.452
Ni1 0.454 0.500 0.283

---

(4)
Density functional theory data (GGA-PBEsol) for MgZrZn after structural relaxation.

Properties
ΔE_f = -0.1369 eV per atom
density of states at the Fermi level = 2.091 states/eV/f.u.
theoretical density = 5.30 g/cm3
space-group type = I4mm (107)

a b c (Å): 3.065 3.065 6.409
angles (deg): 103.84 103.84 90.00
Element x y z (fractional)
Mg1 0.015 0.015 0.030
Zr1 0.319 0.319 0.638
Zn1 0.666 0.666 0.333

---

(5)
Density functional theory data (GGA-PBEsol) for Rb2ScAgF6 after structural relaxation.

Properties
density of states at the Fermi level = 0.000 states/eV/f.u.
theoretical density = 4.30 g/cm3
ΔE_f (raw) = -2.924 eV/atom
space-group type = Fm-3m (225)

a b c (Å): 6.207 6.207 6.207
angles (deg): 60.00 60.00 60.00
Element x y z (fractional)
F1 0.771 0.771 0.229
Ag1 0.500 0.500 0.500
Sc1 0.000 0.000 0.000
Rb1 0.750 0.750 0.750
Rb2 0.250 0.250 0.250
F2 0.229 0.771 0.771
F3 0.771 0.229 0.771
F4 0.229 0.229 0.771
F5 0.771 0.229 0.229
F6 0.229 0.771 0.229

---

(6)
Density functional theory data (GGA-PBEsol) for BeSeN2F after structural relaxation.

Properties
density of states at the Fermi level = 1.505 states/eV/f.u.
theoretical density = 2.84 g/cm3
ΔE_f (raw) = 2.097 eV/atom
space-group type = P4/mmm (123)

a b c (Å): 3.539 3.539 6.294
angles (deg): 90.00 90.00 90.00
Last column: magnetic moment on the atom in μB.
Element x y z (fractional)
Se1 0.000 0.000 0.500  0.11
N1 0.000 0.500 0.000  1.19
F1 0.000 0.000 0.000  0.02
N2 0.500 0.000 0.000  1.19
Be1 0.500 0.500 0.500  -0.01

---

(7)
Density functional theory data (GGA-PBEsol) for LaBC after structural relaxation.

Properties
ΔE_f = -0.3868 eV per atom
density of states at the Fermi level = 0.884 states/eV/f.u.
theoretical density = 5.93 g/cm3
space-group type = P2_12_12_1 (19)

a b c (Å): 8.566 8.601 12.301
angles (deg): 90.00 90.00 90.00
Element x y z (fractional)
C1 0.556 0.609 0.657
C2 0.444 0.109 0.843
La1 0.341 0.006 0.419
C3 0.525 0.195 0.062
La2 0.061 0.699 0.133
B1 0.882 0.896 0.787
C4 0.353 0.606 0.094
La3 0.159 0.994 0.919
La4 0.949 0.597 0.859
C5 0.647 0.106 0.406
C6 0.944 0.391 0.157
C7 0.753 0.798 0.119
B2 0.062 0.299 0.821
C8 0.475 0.695 0.438
La5 0.755 0.790 0.328
B3 0.981 0.387 0.040
B4 0.686 0.191 0.508
C9 0.142 0.000 0.128
B5 0.519 0.613 0.540
La6 0.561 0.801 0.867
La7 0.840 0.093 0.095
C10 0.056 0.891 0.343
B6 0.618 0.104 0.287
B7 0.438 0.701 0.321
B8 0.901 0.473 0.258
La8 0.939 0.199 0.367
La9 0.551 0.403 0.359
B9 0.599 0.527 0.758
B10 0.562 0.201 0.179
B11 0.481 0.113 0.960
La10 0.245 0.290 0.172
C11 0.975 0.805 0.562
La11 0.745 0.210 0.828
B12 0.814 0.809 0.008
B13 0.019 0.887 0.460
C12 0.253 0.702 0.881
C13 0.358 0.000 0.628
B14 0.099 0.973 0.242
B15 0.382 0.604 0.213
La12 0.160 0.593 0.405
C14 0.247 0.298 0.381
La13 0.255 0.710 0.672
C15 0.147 0.394 0.594
B16 0.401 0.027 0.742
La14 0.439 0.301 0.633
La15 0.659 0.506 0.081
La16 0.340 0.407 0.905
C16 0.853 0.894 0.906
C17 0.747 0.202 0.619
La17 0.051 0.097 0.641
La18 0.449 0.903 0.141
C18 0.858 0.500 0.372
C19 0.025 0.305 0.938
B17 0.118 0.396 0.713
La19 0.660 0.907 0.595
La20 0.841 0.494 0.581
C20 0.642 0.500 0.872
B18 0.938 0.799 0.679
B19 0.314 0.691 0.992
B20 0.186 0.309 0.492

---

(8)
Density functional theory data (GGA-PBEsol) for NdSi2Rh2 after structural relaxation.

Properties
density of states at the Fermi level = 2.453 states/eV/f.u.
theoretical density = 8.14 g/cm3
ΔE_f (raw) = -1.139 eV/atom
space-group type = I4/mmm (139)

a b c (Å): 4.054 4.054 5.797
angles (deg): 110.47 110.47 90.00
Element x y z (fractional)
Rh1 0.750 0.250 0.500
Rh2 0.250 0.750 0.500
Nd1 0.000 0.000 0.000
Si1 0.376 0.376 0.751
Si2 0.624 0.624 0.249

---

(9)
Density functional theory data (GGA-PBEsol) for TmLu3 after structural relaxation.

Properties
ΔE_f = -0.0004 eV per atom
density of states at the Fermi level = 6.335 states/eV/f.u.
theoretical density = 10.31 g/cm3
space-group type = P6_3/mmc (194)

a b c (Å): 5.374 6.930 6.930
angles (deg): 120.00 90.00 90.00
Element x y z (fractional)
Lu1 0.250 0.166 0.333
Tm1 0.250 0.667 0.333
Lu2 0.750 0.333 0.166
Lu3 0.250 0.667 0.834
Lu4 0.750 0.834 0.667
Lu5 0.750 0.833 0.167
Tm2 0.750 0.333 0.667
Lu6 0.250 0.167 0.833

---

(10)
Density functional theory data (GGA-PBEsol) for LiCaAg2 after structural relaxation.

Properties
ΔE_f = -0.1615 eV per atom
density of states at the Fermi level = 1.490 states/eV/f.u.
ΔE to the lowest computed polymorph = 52 meV per atom
theoretical density = 5.22 g/cm3
space-group type = Pm (6)

a b c (Å): 3.566 4.675 5.018
angles (deg): 90.00 90.18 90.00
Element x y z (fractional)
Ca1 0.376 0.000 0.426
Ag1 0.876 0.000 0.932
Li1 0.373 0.500 0.863
Ag2 0.876 0.500 0.278

---

(11)
Density functional theory data (GGA-PBEsol) for MgZrAg2 after structural relaxation.

Properties
ΔE_f = -0.0456 eV per atom
density of states at the Fermi level = 2.747 states/eV/f.u.
theoretical density = 7.36 g/cm3
space-group type = Cm (8)

a b c (Å): 2.955 5.172 5.186
angles (deg): 99.73 90.00 106.60
Element x y z (fractional)
Ag1 0.991 0.983 0.021
Ag2 0.257 0.513 0.719
Mg1 0.511 0.021 0.549
Zr1 0.741 0.483 0.211

---

(12)
Density functional theory data (GGA-PBEsol) for LaTe2PC after structural relaxation.

Properties
density of states at the Fermi level = 6.461 states/eV/f.u.
theoretical density = 4.52 g/cm3
ΔE_f (raw) = 1.452 eV/atom
space-group type = P4/mmm (123)

a b c (Å): 4.379 6.053 6.053
angles (deg): 90.00 90.00 90.00
Last column: magnetic moment on the atom in μB.
Element x y z (fractional)
La1 0.000 0.000 0.000  0.10
P1 0.500 0.500 0.500  0.08
C1 0.500 0.000 0.000  0.40
Te1 0.000 0.000 0.500  0.01
Te2 0.000 0.500 0.000  0.01